No. 1
An optimized crystal structure of BaPRh, computed with PBE. Values from VASP.

Quantum ESPRESSO input file:
```
&SYSTEM
  ibrav = 0, nat = 3, ntyp = 3
/
ATOMIC_SPECIES
Ba 137.33 Ba.upf
P 30.97 P.upf
Rh 102.91 Rh.upf
CELL_PARAMETERS angstrom
-2.356 -3.111 -2.699
-4.192 -1.693 1.440
-3.981 1.321 -2.219
ATOMIC_POSITIONS angstrom
Ba 0.000 0.000 0.000
P -5.264 -1.742 -1.739
Rh -2.632 -0.871 -0.869
```

Results
formation energy from the elements = -0.02 eV/atom
raw total energy = -4.911 eV per atom
mass density = 5.96 g/cm³
M_tot = 0.79 μB per formula unit

No. 2
An optimized crystal structure of ScHgAu3, computed with PBE. Values from VASP.

Quantum ESPRESSO input file:
```
&SYSTEM
  ibrav = 0, nat = 5, ntyp = 3
/
ATOMIC_SPECIES
Sc 44.96 Sc.upf
Au 196.97 Au.upf
Hg 200.59 Hg.upf
CELL_PARAMETERS angstrom
-1.521 4.841 1.332
-5.007 -1.567 -0.025
0.375 -1.278 5.075
ATOMIC_POSITIONS angstrom
Sc 0.000 0.000 0.000
Au -2.504 -0.783 -0.012
Au 0.187 -0.639 2.537
Au -0.761 2.421 0.666
Hg -3.077 0.998 3.191
```

Results
formation energy from the elements = 0.33 eV/atom
raw total energy = -2.963 eV per atom
mass density = 9.62 g/cm³
energy above the most stable polymorph in this dataset = 0 meV per atom
M_tot = 0.00 μB per formula unit

No. 3
An optimized crystal structure of Sr2ZnGa2Ni, computed with PBE. Values from VASP.

Quantum ESPRESSO input file:
```
&SYSTEM
  ibrav = 0, nat = 12, ntyp = 4
/
ATOMIC_SPECIES
Sr 87.62 Sr.upf
Zn 65.41 Zn.upf
Ga 69.72 Ga.upf
Ni 58.69 Ni.upf
CELL_PARAMETERS angstrom
-0.030 -0.700 6.209
-1.961 -5.850 -0.668
8.045 0.938 -3.000
ATOMIC_POSITIONS angstrom
Sr 2.260 -0.920 1.422
Sr 3.794 -4.691 1.118
Sr 4.790 -1.404 -1.764
Sr 1.265 -4.208 4.304
Zn -1.471 -4.388 -0.501
Zn -0.490 -1.463 -0.167
Ga 1.233 -0.922 4.452
Ga 0.266 -3.534 1.341
Ga 5.789 -2.077 1.199
Ga 4.822 -4.690 -1.911
Ni -1.485 -4.737 2.603
Ni -0.505 -1.812 2.937
```

Results
formation energy from the elements = -0.35 eV/atom
raw total energy = -3.092 eV per atom
mass density = 5.06 g/cm³
M_tot = 0.00 μB per formula unit

No. 4
An optimized crystal structure of Th3Co3Ge2, computed with PBE. Values from VASP.

Quantum ESPRESSO input file:
```
&SYSTEM
  ibrav = 0, nat = 16, ntyp = 3
/
ATOMIC_SPECIES
Th 232.04 Th.upf
Co 58.93 Co.upf
Ge 72.64 Ge.upf
CELL_PARAMETERS angstrom
4.104 0.000 0.000
-2.052 5.420 0.000
0.000 0.000 14.056
ATOMIC_POSITIONS angstrom
Th 2.052 4.600 5.489
Th 0.000 0.820 12.517
Th 2.052 4.600 1.539
Th 0.000 0.820 8.567
Th 2.052 1.512 3.514
Th 0.000 3.908 10.542
Co 2.052 1.271 6.480
Co 0.000 4.150 13.508
Co 2.052 1.271 0.548
Co 0.000 4.150 7.576
Co 0.000 3.529 3.514
Co 2.052 1.892 10.542
Ge 2.052 3.101 12.779
Ge 0.000 2.320 5.751
Ge 2.052 3.101 8.305
Ge 0.000 2.320 1.277
```

Results
formation energy from the elements = -0.49 eV/atom
raw total energy = -7.094 eV per atom
mass density = 10.81 g/cm³
M_tot = 0.00 μB per formula unit

No. 5
An optimized crystal structure of EuYZr, computed with PBE. Values from VASP.

Quantum ESPRESSO input file:
```
&SYSTEM
  ibrav = 0, nat = 3, ntyp = 3
/
ATOMIC_SPECIES
Eu 151.96 Eu.upf
Y 88.91 Y.upf
Zr 91.22 Zr.upf
CELL_PARAMETERS angstrom
3.442 0.000 0.000
0.000 3.442 0.000
-1.721 -1.721 7.706
ATOMIC_POSITIONS angstrom
Eu 0.000 0.000 0.141
Y 0.000 0.000 4.875
Zr 1.721 1.721 2.690
```

Results
formation energy from the elements = 0.16 eV/atom
raw total energy = -8.266 eV per atom
mass density = 6.04 g/cm³
energy above the most stable polymorph in this dataset = 0 meV per atom
M_tot = 7.25 μB per formula unit

No. 6
An optimized crystal structure of Tm4SnSbC, computed with PBE. Values from VASP.

Quantum ESPRESSO input file:
```
&SYSTEM
  ibrav = 0, nat = 7, ntyp = 4
/
ATOMIC_SPECIES
Tm 168.93 Tm.upf
Sn 118.71 Sn.upf
Sb 121.76 Sb.upf
C 12.01 C.upf
CELL_PARAMETERS angstrom
-1.418 -3.386 2.978
4.401 -0.358 1.689
-3.112 7.271 3.034
ATOMIC_POSITIONS angstrom
Tm -2.325 3.692 6.843
Tm 0.584 5.206 6.198
Tm 0.380 1.831 6.015
Tm -0.508 1.691 1.681
Sn -1.159 3.862 3.840
Sb 1.029 -0.332 3.864
C -0.009 0.030 0.030
```

Results
raw total energy = -5.771 eV per atom
mass density = 8.86 g/cm³
energy relative to the elements, uncorrected = -738 meV per atom
M_tot = 0.00 μB per formula unit

No. 7
An optimized crystal structure of CrTeCI2, computed with PBE. Values from VASP.

Quantum ESPRESSO input file:
```
&SYSTEM
  ibrav = 0, nat = 5, ntyp = 4
/
ATOMIC_SPECIES
I 126.90 I.upf
Cr 52.00 Cr.upf
C 12.01 C.upf
Te 127.60 Te.upf
CELL_PARAMETERS angstrom
4.985 0.000 0.000
0.000 4.985 0.000
0.000 0.000 4.761
ATOMIC_POSITIONS angstrom
I 0.000 2.492 0.000
I 2.492 0.000 0.000
Cr 2.492 2.492 2.381
C 0.000 0.000 0.000
Te 0.000 0.000 2.381
```

Results
raw total energy = -3.276 eV per atom
mass density = 6.25 g/cm³
energy above the most stable polymorph in this dataset = 29 meV per atom
energy relative to the elements, uncorrected = 1742 meV per atom
M_tot = 0.06 μB per formula unit

No. 8
An optimized crystal structure of CdAgIr2, computed with PBE. Values from VASP.

Quantum ESPRESSO input file:
```
&SYSTEM
  ibrav = 0, nat = 4, ntyp = 3
/
ATOMIC_SPECIES
Ir 192.22 Ir.upf
Ag 107.87 Ag.upf
Cd 112.41 Cd.upf
CELL_PARAMETERS angstrom
9.642 0.010 0.006
9.227 2.800 0.006
9.227 1.374 2.440
ATOMIC_POSITIONS angstrom
Ir 0.005 0.001 0.000
Ir 14.043 2.091 1.225
Ag 7.024 1.046 0.613
Cd 21.072 3.138 1.839
```

Results
formation energy from the elements = 0.32 eV/atom
raw total energy = -5.051 eV per atom
mass density = 15.34 g/cm³
M_tot = 0.21 μB per formula unit